Below is an optimized crystal structure of EuBiAu, with properties calculated at the PBE-GGA level. Values from VASP.

density: 10.998 Mg/m³
electronic total energy: -6.530 eV per atom
energy of formation: -0.72 eV per atom
symmetry: No. 186

```
&SYSTEM
  ibrav = 0, nat = 6, ntyp = 3
/
ATOMIC_SPECIES
Eu 151.96 Eu.upf
Bi 208.98 Bi.upf
Au 196.97 Au.upf
CELL_PARAMETERS angstrom
4.9179 0.0000 0.0000
-2.4589 4.2590 0.0000
0.0000 0.0000 8.0436
ATOMIC_POSITIONS crystal
Eu 0.0000 0.0000 0.0000
Eu 0.0000 0.0000 0.5000
Bi 0.3333 0.6667 0.2238
Bi 0.6667 0.3333 0.7238
Au 0.3333 0.6667 0.8104
Au 0.6667 0.3333 0.3104
```